# 1
Density functional theory data (PBE-GGA) for a relaxed U6As3P2Se crystal.

a b c (Å): 9.011 9.011 8.085
angles (deg): 103.10 103.10 25.67
Atoms (fractional coordinates):
U: 0.004 0.004 0.253
U: 0.330 0.330 0.422
U: 0.331 0.331 0.905
U: 0.669 0.669 0.095
U: 0.670 0.670 0.578
U: 0.996 0.996 0.747
As: 0.164 0.164 0.834
As: 0.500 0.500 0.500
As: 0.836 0.836 0.166
P: 0.167 0.167 0.335
P: 0.833 0.833 0.665
Se: 0.500 0.500 0.000

---

# 2
Density functional theory data (PBE-GGA) for a relaxed VAs2PSe crystal.

Properties
energy above the most stable polymorph in this dataset	0.0	meV per atom

a b c (Å): 4.809 4.809 4.619
angles (deg): 90.00 90.00 90.00
Atoms (fractional coordinates):
V: 0.000 0.000 0.000
As: 0.000 0.500 0.000
As: 0.500 0.000 0.000
P: 0.500 0.500 0.500
Se: 0.000 0.000 0.500

---

Number 1: electronic total energy -8.8396 eV per atom, DOS(E_F) 31.95 states/eV per cell. Number 2: electronic total energy -4.9077 eV per atom, DOS(E_F) 3.39 states/eV per cell.